Entry 1:
First-principles (PBE) data for a relaxed Ta2NbRu3 crystal, as listed in the Alexandria database.

Cell lengths 3.068, 3.068, 10.284 Å; angles 90.00, 90.00, 90.00 degrees
Fractional coordinates of all 6 atoms:
Ta 0.500 0.500 0.834
Ta 0.500 0.500 0.166
Ru 0.000 0.000 0.316
Ru 0.000 0.000 0.000
Ru 0.000 0.000 0.684
Nb 0.500 0.500 0.500

Results
Energy of formation from the pure elements = -0.30 eV/atom
Electronic total energy = -63.43 eV per formula unit

=====

Entry 2:
First-principles (PBE) data for a relaxed AgHgW2 crystal, as listed in the Alexandria database.

Cell lengths 2.772, 2.772, 9.019 Å; angles 90.00, 90.00, 90.00 degrees
Fractional coordinates of all 4 atoms:
W 0.000 0.000 0.494
W 0.000 0.000 0.006
Hg 0.500 0.500 0.750
Ag 0.500 0.500 0.250

Results
Energy of formation from the pure elements = 0.80 eV/atom
Electronic total energy = -25.88 eV per formula unit

=====

Entry 3:
First-principles (PBE) data for a relaxed TcNiBr2 crystal, as listed in the Alexandria database.

Cell lengths 4.578, 4.578, 3.206 Å; angles 90.00, 90.00, 90.02 degrees
Last column: magnetic moment on the atom in μB.
Fractional coordinates of all 4 atoms:
Br 0.500 0.500 0.000  0.07
Br 0.000 0.000 0.000  0.07
Ni 0.500 0.000 0.500  0.73
Tc 0.000 0.500 0.500  1.00

Results
Electronic total energy = -16.00 eV per formula unit
Raw formation energy = 0.8738 eV per atom

=====

Entry 4:
First-principles (PBE) data for a relaxed Mo2C crystal, as listed in the Alexandria database.

Cell lengths 5.581, 5.581, 5.188 Å; angles 70.18, 70.18, 29.11 degrees
Fractional coordinates of all 6 atoms:
Mo 0.288 0.288 0.731
Mo 0.712 0.712 0.269
Mo 0.972 0.972 0.264
Mo 0.028 0.028 0.736
C 0.374 0.374 0.059
C 0.626 0.626 0.941

Results
Energy of formation from the pure elements = 0.21 eV/atom
Electronic total energy = -30.27 eV per formula unit

=====

Entry 5:
First-principles (PBE) data for a relaxed RhSe2NO crystal, as listed in the Alexandria database.

Cell lengths 4.437, 4.437, 3.579 Å; angles 90.00, 90.00, 90.00 degrees
Last column: magnetic moment on the atom in μB.
Fractional coordinates of all 5 atoms:
Se 0.500 0.000 0.000  0.07
Se 0.000 0.500 0.000  0.07
Rh 0.500 0.500 0.500  0.14
N 0.000 0.000 0.500  0.83
O 0.000 0.000 0.000  -0.02

Results
Electronic total energy = -21.19 eV per formula unit
Raw formation energy = 1.2830 eV per atom

=====

Entry 6:
First-principles (PBE) data for a relaxed LaMg3Pt2 crystal, as listed in the Alexandria database.

Cell lengths 4.076, 8.595, 8.593 Å; angles 65.48, 76.28, 76.29 degrees
Fractional coordinates of all 12 atoms:
Pt 0.189 0.311 0.311
Pt 0.500 0.154 0.846
Pt 0.500 0.846 0.154
Pt 0.811 0.689 0.689
Mg 0.000 0.346 0.655
Mg 0.337 0.475 0.852
Mg 0.000 0.654 0.345
Mg 0.663 0.525 0.148
Mg 0.663 0.149 0.525
Mg 0.337 0.851 0.475
La 0.133 0.867 0.866
La 0.867 0.133 0.134

Results
Energy of formation from the pure elements = -0.75 eV/atom
Electronic total energy = -26.32 eV per formula unit

=====

Q: Number 2 is which compound?
A: AgHgW2